Below is crystalline PrScPbAu at its relaxed geometry, with properties calculated at the PBE level.

Lattice parameters (Å, degrees): 5.251 5.251 5.251 60.00 60.00 60.00
Fractional positions:
Pr (0.000, 0.000, 0.000)
Sc (0.500, 0.500, 0.500)
Pb (0.750, 0.750, 0.750)
Au (0.250, 0.250, 0.250)

Output
Space group   F-43m

Below is crystalline RhPb5 at its relaxed geometry, with properties calculated at the PBE level.

Lattice parameters (Å, degrees): 6.118 6.118 5.911 90.00 90.00 120.00
Fractional positions:
Rh (0.000, 0.000, 0.000)
Pb (0.000, 0.500, 0.500)
Pb (0.333, 0.667, 0.000)
Pb (0.500, 0.000, 0.500)
Pb (0.500, 0.500, 0.500)
Pb (0.667, 0.333, 0.000)

Output
Space group   P6/mmm

no.,formation energy (eV/atom),uncorrected energy (eV/cell)
1,-0.54,-20.25
2,0.64,-22.04